Computed, not measured: an optimized crystal structure of ThMgZr at the GGA-PBE level of DFT.

The total moment is 0.00 μB per formula unit. Its offset from the most stable computed form is 7.75 kJ/mol of atoms. The total energy comes out at -5.708 eV/atom. The crystal system is trigonal. As for the formation energy: 0.146 eV per atom.

It has space group P3m1 (No. 156), with a = 3.3058 Å, b = 3.3058 Å, c = 8.4252 Å, α = 90.00°, β = 90.00° and γ = 120.00°. The inequivalent atoms are Th at (0.0000, 0.0000, 0.0000), Mg at (0.6667, 0.3333, 0.3559) and Zr at (0.3333, 0.6667, 0.6673).

=====

Computed, not measured: an optimized crystal structure of ThMgZr2 at the GGA-PBE level of DFT.

The total moment is 0.00 μB per formula unit. Its offset from the most stable computed form is 8.38 kJ/mol of atoms. The total energy comes out at -6.380 eV/atom. The crystal system is trigonal. As for the formation energy: 0.148 eV per atom.

It has space group R-3m (No. 166, hexagonal axes), with a = 3.3777 Å, b = 3.3777 Å, c = 31.1345 Å, α = 90.00°, β = 90.00° and γ = 120.00°. The inequivalent atoms are Th at (0.0000, 0.0000, 0.0000), Mg at (0.0000, 0.0000, 0.5000) and Zr at (0.0000, 0.0000, 0.2487).

=====

Computed, not measured: an optimized crystal structure of Mg6Ti at the GGA-PBE level of DFT.

The total moment is 2.91 μB per formula unit. The total energy comes out at -1.369 eV/atom. The crystal system is cubic. As for the formation energy: 1.125 eV per atom.

It has space group Im-3m (No. 229), with a = 7.859 Å, b = 7.859 Å, c = 7.859 Å, α = 90.00°, β = 90.00° and γ = 90.00°. The inequivalent atoms are Mg at (0.000, 0.250, 0.500) and Ti at (0.000, 0.000, 0.000).

=====

Computed, not measured: an optimized crystal structure of Mg4Ti at the GGA-PBE level of DFT.

The total moment is 3.04 μB per formula unit. The total energy comes out at -1.944 eV/atom. The crystal system is cubic. As for the formation energy: 0.911 eV per atom.

It has space group Pm-3m (No. 221), with a = 5.369 Å, b = 5.369 Å, c = 5.369 Å, α = 90.00°, β = 90.00° and γ = 90.00°. The inequivalent atoms are Mg at (0.000, 0.000, 0.000), Mg at (0.000, 0.500, 0.500) and Ti at (0.500, 0.500, 0.500).